[1]
The following is a GGA-PBE calculation of a relaxed structure of Ba2SmTlSe5, from Alexandria.

Cell lengths 4.3673, 9.8875, 13.5067 Å; angles 90.00, 90.00, 102.76 degrees
Positions (direct):
Se  0.3136  0.6272  0.3683
Se  0.7087  0.4174  0.1607
Se  0.6864  0.3728  0.8683
Se  0.9497  0.8993  0.5634
Se  0.4935  0.9869  0.7654
Se  0.6431  0.2862  0.5035
Se  0.0503  0.1007  0.0634
Se  0.5065  0.0131  0.2654
Se  0.3569  0.7138  0.0035
Se  0.2913  0.5826  0.6607
Sm  0.7894  0.5787  0.5174
Sm  0.2106  0.4213  0.0174
Ba  0.1344  0.2688  0.3162
Ba  0.8812  0.7624  0.1850
Ba  0.1188  0.2376  0.6850
Ba  0.8656  0.7312  0.8162
Tl  0.5462  0.0924  0.9440
Tl  0.4538  0.9076  0.4440

## Properties
E_tot: -4.673 eV/atom
V: 31.6 Å³/atom
Calculated density: 5.98 g cm⁻³
E_form (uncorrected): -1.523 eV per atom

***

[2]
The following is a GGA-PBE calculation of a relaxed structure of Ba2SmTlSe4, from Alexandria.

Cell lengths 4.5460, 7.7137, 8.0704 Å; angles 71.11, 90.00, 90.00 degrees
Positions (direct):
Se  0.0000  0.7333  0.7275
Se  0.5000  0.7246  0.2757
Se  0.5000  0.2754  0.7243
Se  0.0000  0.2667  0.2725
Ba  0.0000  0.0000  0.0000
Ba  0.5000  0.0000  0.5000
Tl  0.5000  0.5000  0.0000
Sm  0.0000  0.5000  0.5000

## Properties
E_tot: -4.748 eV/atom
V: 33.5 Å³/atom
Calculated density: 5.86 g cm⁻³
E_form (uncorrected): -1.639 eV per atom